No. 1
Computed, not measured: an optimized crystal structure of Nd2Mg17 at the PBE level of DFT.

Values from the calculation:
The calculation puts the energy of formation from the pure elements at -0.06 eV per atom. The density comes out at 2.502 g cm⁻³. The value obtained for the density of states at the Fermi level is 8.32 states/eV/f.u.

Lattice parameters (Å, degrees): 10.2850 10.2850 15.2504 90.00 90.00 120.00
Last column: nearest neighbours and their distance in Å.
Space group R-3m (No. 166, hexagonal axes)
Asymmetric unit:
Nd 0.0000 0.0000 0.1699 x6  16 Mg 3.52-3.88
Mg 0.0000 0.0000 0.4009 x6  7 Mg 3.02-3.30
Mg 0.0000 0.3006 0.5000 x18  8 Mg 2.99-3.20
Mg 0.0000 0.5000 0.0000 x9  10 Mg 2.99-3.14
Mg 0.0083 0.5042 0.6512 x18  8 Mg 2.93-3.20

***

No. 2
Computed, not measured: an optimized crystal structure of CaCrTeI2 at the PBE level of DFT.

Values from the calculation:
For the distance to the lowest polymorph of the same formula, the calculation gives 0 kJ/mol of formula units. The density comes out at 4.672 g cm⁻³. The value obtained for the density of states at the Fermi level is 0.87 states/eV/f.u. Its formation energy (no corrections) is -0.477 eV/atom.

Lattice parameters (Å, degrees): 5.4577 5.4577 5.6500 90.00 90.00 90.00
Last column: nearest neighbours and their distance in Å.
Space group P4/mmm (No. 123)
Asymmetric unit:
Ca 0.0000 0.0000 0.0000 x1  4 Te 3.86, 8 I 3.93
Cr 0.5000 0.5000 0.5000 x1  4 I 2.73, 2 Te 2.82
Te 0.5000 0.5000 0.0000 x1  2 Cr 2.82
I 0.0000 0.5000 0.5000 x2  2 Cr 2.73

***

No. 3
Computed, not measured: an optimized crystal structure of Li3Fe at the PBE level of DFT.

Values from the calculation:
The calculation puts the energy of formation from the pure elements at 0.33 eV per atom. The density comes out at 2.138 g cm⁻³. The value obtained for the density of states at the Fermi level is 3.81 states/eV/f.u.

Lattice parameters (Å, degrees): 2.5752 4.8118 9.6099 90.00 90.00 90.00
Last column: nearest neighbours and their distance in Å.
Space group Immm (No. 71)
Asymmetric unit:
Li 0.0000 0.0000 0.0000 x2  6 Li 2.58-2.76, 4 Fe 2.73
Li 0.0000 0.5000 0.2460 x4  8 Li 2.58-2.76, 2 Fe 2.69
Fe 0.0000 0.0000 0.5000 x2  2 Fe 2.58, 8 Li 2.69-2.73